Record 1
VASP calculation (PBE) on NdSmYMg after structural relaxation. Values from VASP.

```
&SYSTEM
  ibrav = 0, nat = 4, ntyp = 4
/
ATOMIC_SPECIES
Y 88.91 Y.upf
Mg 24.30 Mg.upf
Nd 144.24 Nd.upf
Sm 150.36 Sm.upf
ATOMIC_POSITIONS crystal
Y 0.250 0.250 0.250
Mg 0.750 0.750 0.750
Nd 0.500 0.500 0.500
Sm 0.000 0.000 0.000
CELL_PARAMETERS angstrom
-4.087 -3.396 -1.791
-1.927 -4.072 3.339
-5.138 0.385 2.214
```

Summary:
SG	F-43m, No. 216
ΔH_f (0 K)	37	meV/atom
spin magnetization	0.00	μB per atom
mass density	5.43	g/cm³


Record 2
VASP calculation (PBE) on InGaBr2 after structural relaxation. Values from VASP.

```
&SYSTEM
  ibrav = 0, nat = 4, ntyp = 3
/
ATOMIC_SPECIES
Ga 69.72 Ga.upf
Br 79.90 Br.upf
In 114.82 In.upf
ATOMIC_POSITIONS crystal
Ga 0.500 0.000 0.000
Br 0.000 0.000 0.500
Br 0.000 0.500 0.000
In 0.500 0.500 0.500
CELL_PARAMETERS angstrom
-0.843 1.640 3.461
-2.225 -4.762 1.714
4.919 -1.595 1.955
```

Summary:
SG	P4/mmm, No. 123
spin magnetization	0.00	μB per atom
uncorrected formation energy	-0.52	eV/atom
mass density	4.77	g/cm³


Record 3
VASP calculation (PBE) on SrRh2Au after structural relaxation. Values from VASP.

```
&SYSTEM
  ibrav = 0, nat = 4, ntyp = 3
/
ATOMIC_SPECIES
Au 196.97 Au.upf
Rh 102.91 Rh.upf
Sr 87.62 Sr.upf
ATOMIC_POSITIONS crystal
Au 0.000 0.500 0.500
Rh 0.000 0.000 0.000
Rh 0.500 0.500 0.000
Sr 0.500 0.000 0.500
CELL_PARAMETERS angstrom
3.201 0.000 0.000
0.000 4.985 0.000
0.000 0.000 4.771
```

Summary:
SG	Pmmm, No. 47
ΔH_f (0 K)	106	meV/atom
spin magnetization	0.00	μB per atom
mass density	10.70	g/cm³


Record 4
VASP calculation (PBE) on FeTcW after structural relaxation. Values from VASP.

```
&SYSTEM
  ibrav = 0, nat = 3, ntyp = 3
/
ATOMIC_SPECIES
Fe 55.84 Fe.upf
Tc 98.00 Tc.upf
W 183.84 W.upf
ATOMIC_POSITIONS crystal
Fe 0.996 0.996 0.000
Tc 0.340 0.340 0.000
W 0.664 0.664 0.000
CELL_PARAMETERS angstrom
4.736 -0.023 0.017
2.362 4.105 -0.017
-3.095 -2.830 2.200
```

Summary:
SG	Imm2, No. 44
ΔH_f (0 K)	211	meV/atom
spin magnetization	0.66	μB per atom
mass density	13.11	g/cm³


Record 5
VASP calculation (PBE) on YBeRe2 after structural relaxation. Values from VASP.

```
&SYSTEM
  ibrav = 0, nat = 4, ntyp = 3
/
ATOMIC_SPECIES
Y 88.91 Y.upf
Re 186.21 Re.upf
Be 9.01 Be.upf
ATOMIC_POSITIONS crystal
Y 0.000 0.490 0.559
Re 0.000 0.849 0.035
Re 0.500 0.258 0.123
Be 0.500 0.903 0.783
CELL_PARAMETERS angstrom
-1.192 -1.378 -3.704
-2.314 -1.708 1.380
-4.193 3.424 0.076
```

Summary:
SG	Pm, No. 6
ΔH_f (0 K)	174	meV/atom
spin magnetization	0.00	μB per atom
mass density	11.25	g/cm³


Record 6
VASP calculation (PBE) on NdAgI after structural relaxation. Values from VASP.

```
&SYSTEM
  ibrav = 0, nat = 6, ntyp = 3
/
ATOMIC_SPECIES
Nd 144.24 Nd.upf
Ag 107.87 Ag.upf
I 126.90 I.upf
ATOMIC_POSITIONS crystal
Nd 0.035 0.035 0.662
Nd 0.965 0.965 0.338
Ag 0.658 0.658 0.498
Ag 0.342 0.342 0.502
I 0.648 0.648 0.169
I 0.352 0.352 0.831
CELL_PARAMETERS angstrom
-1.070 4.110 -2.205
-3.477 0.573 -3.238
-7.568 2.719 8.330
```

Summary:
SG	C2/m, No. 12
spin magnetization	0.00	μB per atom
uncorrected formation energy	-0.73	eV/atom
mass density	5.81	g/cm³


Record 7
VASP calculation (PBE) on Li4CrPb after structural relaxation. Values from VASP.

```
&SYSTEM
  ibrav = 0, nat = 6, ntyp = 3
/
ATOMIC_SPECIES
Li 6.94 Li.upf
Cr 52.00 Cr.upf
Pb 207.20 Pb.upf
ATOMIC_POSITIONS crystal
Li 0.878 0.374 0.374
Li 0.374 0.374 0.878
Li 0.374 0.878 0.374
Li 0.374 0.374 0.374
Cr 0.000 0.000 0.000
Pb 0.750 0.750 0.750
CELL_PARAMETERS angstrom
4.272 -2.733 -1.387
-0.281 -5.222 -0.544
0.298 -2.165 -4.782
```

Summary:
SG	F-43m, No. 216
ΔH_f (0 K)	92	meV/atom
spin magnetization	0.65	μB per atom
mass density	4.64	g/cm³


Record 8
VASP calculation (PBE) on CuSn3Au after structural relaxation. Values from VASP.

```
&SYSTEM
  ibrav = 0, nat = 20, ntyp = 3
/
ATOMIC_SPECIES
Cu 63.55 Cu.upf
Sn 118.71 Sn.upf
Au 196.97 Au.upf
ATOMIC_POSITIONS crystal
Cu 0.326 0.937 0.940
Cu 0.674 0.063 0.060
Cu 0.826 0.563 0.560
Cu 0.174 0.437 0.440
Sn 0.316 0.141 0.237
Sn 0.684 0.859 0.763
Sn 0.816 0.359 0.263
Sn 0.184 0.641 0.737
Sn 0.013 0.807 0.081
Sn 0.987 0.193 0.919
Sn 0.513 0.693 0.419
Sn 0.487 0.307 0.581
Sn 0.539 0.710 0.072
Sn 0.461 0.290 0.928
Sn 0.039 0.790 0.428
Sn 0.961 0.210 0.572
Au 0.700 0.003 0.336
Au 0.300 0.997 0.664
Au 0.200 0.497 0.164
Au 0.800 0.503 0.836
CELL_PARAMETERS angstrom
-5.433 2.329 3.031
-3.123 1.510 -6.759
-2.674 -8.687 1.882
```

Summary:
SG	P2_1/c, No. 14
ΔH_f (0 K)	-24	meV/atom
spin magnetization	0.00	μB per atom
mass density	9.03	g/cm³